1.
This record from Alexandria describes a geometry-optimized CrOsRh2 structure. The functional is PBE-GGA. Values from VASP.

Output
Volume in Å³ per cell: 55.82
Crystal system: tetragonal
Energy above the most stable polymorph in this dataset in meV per atom: 325

```
&SYSTEM
  ibrav = 0, nat = 4, ntyp = 3
/
ATOMIC_SPECIES
Cr 52.00 Cr.upf
Os 190.23 Os.upf
Rh 102.91 Rh.upf
CELL_PARAMETERS angstrom
3.146 0.000 0.000
0.000 3.146 0.000
0.000 0.000 5.639
ATOMIC_POSITIONS angstrom
Cr 0.000 0.000 0.000
Os 1.573 1.573 1.323
Rh 0.000 0.000 2.849
Rh 1.573 1.573 4.376
```


2.
This record from Alexandria describes a geometry-optimized Nd2Al4RuAu3 structure. The functional is PBE-GGA. Values from VASP.

Output
Volume in Å³ per cell: 199.34
Crystal system: tetragonal
Electronic total energy in eV/atom: -5.046

```
&SYSTEM
  ibrav = 0, nat = 10, ntyp = 4
/
ATOMIC_SPECIES
Nd 144.24 Nd.upf
Al 26.98 Al.upf
Ru 101.07 Ru.upf
Au 196.97 Au.upf
CELL_PARAMETERS angstrom
4.322 0.000 0.000
0.000 4.322 0.000
0.000 0.000 10.674
ATOMIC_POSITIONS angstrom
Nd 0.000 2.161 2.597
Nd 2.161 0.000 8.077
Al 0.000 0.000 5.337
Al 0.000 2.161 9.345
Al 2.161 0.000 1.329
Al 2.161 2.161 5.337
Ru 2.161 2.161 0.000
Au 0.000 0.000 0.000
Au 0.000 2.161 6.793
Au 2.161 0.000 3.881
```


3.
This record from Alexandria describes a geometry-optimized BeNiSe2 structure. The functional is PBE-GGA. Values from VASP.

Output
ΔE_f (raw) in eV/atom: -0.27
Volume in Å³ per cell: 77.71
Crystal system: monoclinic

```
&SYSTEM
  ibrav = 0, nat = 4, ntyp = 3
/
ATOMIC_SPECIES
Be 9.01 Be.upf
Ni 58.69 Ni.upf
Se 78.96 Se.upf
CELL_PARAMETERS angstrom
3.824 -1.682 0.000
3.824 1.682 0.000
-1.126 0.000 6.040
ATOMIC_POSITIONS angstrom
Be 0.000 0.000 0.000
Ni 0.974 0.000 5.819
Se 3.374 0.000 4.635
Se 6.118 0.000 1.458
```


4.
This record from Alexandria describes a geometry-optimized Be2CuSi structure. The functional is PBE-GGA. Values from VASP.

Output
ΔE_f (raw) in eV/atom: 0.19
Volume in Å³ per cell: 42.56
Crystal system: trigonal

```
&SYSTEM
  ibrav = 0, nat = 4, ntyp = 3
/
ATOMIC_SPECIES
Be 9.01 Be.upf
Cu 63.55 Cu.upf
Si 28.09 Si.upf
CELL_PARAMETERS angstrom
1.274 0.736 7.569
-1.274 0.736 7.569
0.000 -1.471 7.569
ATOMIC_POSITIONS angstrom
Be 0.000 0.000 5.597
Be 0.000 0.000 17.111
Cu 0.000 0.000 11.354
Si 0.000 0.000 0.000
```


5.
This record from Alexandria describes a geometry-optimized TbHo2Au structure. The functional is PBE-GGA. Values from VASP.

Output
Volume in Å³ per cell: 226.90
Crystal system: orthorhombic
Energy above the most stable polymorph in this dataset in meV per atom: 39

```
&SYSTEM
  ibrav = 0, nat = 8, ntyp = 3
/
ATOMIC_SPECIES
Tb 158.93 Tb.upf
Ho 164.93 Ho.upf
Au 196.97 Au.upf
CELL_PARAMETERS angstrom
2.456 -5.926 0.000
2.456 5.926 0.000
0.000 0.000 7.794
ATOMIC_POSITIONS angstrom
Tb 2.456 5.408 5.845
Tb 2.456 -5.408 1.948
Ho 2.456 1.711 4.176
Ho 2.456 1.711 7.514
Ho 2.456 -1.711 0.280
Ho 2.456 -1.711 3.617
Au 2.456 3.506 1.948
Au 2.456 -3.506 5.845
```


6.
This record from Alexandria describes a geometry-optimized Nd4Y4Ho5 structure. The functional is PBE-GGA. Values from VASP.

Output
Volume in Å³ per cell: 425.88
Crystal system: tetragonal
Electronic total energy in eV/atom: -5.196

```
&SYSTEM
  ibrav = 0, nat = 13, ntyp = 3
/
ATOMIC_SPECIES
Nd 144.24 Nd.upf
Y 88.91 Y.upf
Ho 164.93 Ho.upf
CELL_PARAMETERS angstrom
-6.483 6.483 2.533
6.483 -6.483 2.533
6.483 6.483 -2.533
ATOMIC_POSITIONS angstrom
Nd 8.001 1.011 0.000
Nd 1.011 4.965 0.000
Nd 5.473 1.518 2.533
Nd -1.518 5.473 2.533
Y 2.966 1.981 0.000
Y 4.502 -3.517 2.533
Y 1.981 10.000 0.000
Y 3.517 4.502 2.533
Ho 0.000 0.000 0.000
Ho 5.985 4.031 0.000
Ho 2.453 -0.499 2.533
Ho 4.031 6.982 0.000
Ho 0.499 2.453 2.533
```


The highest volume belongs to which entry?
Nd4Y4Ho5


Look up the volume of the sixth one.
425.88 Å³ per cell